A plane-wave DFT calculation with GGA-PBE was carried out for crystalline ZrFe6Ge6 at its relaxed geometry.

Values from the calculation:
VASP energy, eV per atom: -6.89
SG: P6/mmm
Spin magnetization, μB per cell: 11.2

Lattice parameters (Å, degrees): 5.067 5.068 8.089 90.00 89.99 120.00
Last column: magnetic moment on the atom in μB.
Sites, in units of the cell vectors:
Fe: 0.500 0.000 0.250  1.94
Fe: 0.500 0.500 0.250  1.94
Fe: 0.000 0.500 0.250  1.94
Fe: 0.500 0.500 0.750  1.94
Fe: 0.000 0.500 0.750  1.94
Fe: 0.500 0.000 0.750  1.94
Ge: 0.333 0.667 0.000  -0.06
Ge: 0.667 0.333 0.000  -0.06
Ge: 0.000 0.000 0.343  -0.06
Ge: 0.667 0.333 0.500  -0.07
Ge: 0.333 0.667 0.500  -0.07
Ge: 0.000 0.000 0.657  -0.06
Zr: 0.000 0.000 0.000  0.01